Tm4OsBr5 | PBE | optimized geometry

The structure in POSCAR format:
```
Tm4OsBr5
1.0
-2.228 0.666 3.197
-1.205 -8.420 0.914
8.783 1.167 3.434
Br Tm Os
5 4 1
direct
0.180 0.848 0.360 Br
0.169 0.324 0.339 Br
0.500 0.500 0.000 Br
0.820 0.152 0.640 Br
0.831 0.676 0.661 Br
0.645 0.072 0.290 Tm
0.004 0.216 0.007 Tm
0.355 0.928 0.710 Tm
0.996 0.784 0.993 Tm
0.500 0.000 0.000 Os
```

Computed properties:
* crystal system: monoclinic
* Fermi-level density of states: 6.0 states/eV/f.u.
* magnetization: 0.00 μB/cell
* space-group type: No. 12
* formation energy without anion corrections: -1286 meV per atom

CsBa2SnPb | PBE | optimized geometry

The structure in POSCAR format:
```
CsBa2SnPb
1.0
-0.013 -6.695 -1.311
5.730 -0.363 1.797
-2.078 -1.245 6.377
Ba Pb Cs Sn
2 1 1 1
direct
0.000 0.000 0.500 Ba
0.500 0.000 0.000 Ba
0.000 0.000 0.000 Pb
0.500 0.500 0.500 Cs
0.000 0.500 0.000 Sn
```

Computed properties:
* crystal system: tetragonal
* Fermi-level density of states: 5.9 states/eV/f.u.
* E_form: -0.032 eV per atom
* magnetization: 0.00 μB/cell
* space-group type: No. 123

HoPPd | PBE | optimized geometry

The structure in POSCAR format:
```
HoPPd
1.0
3.826 0.000 0.000
0.000 3.826 0.000
-1.913 -1.913 4.025
P Ho Pd
1 1 1
direct
0.298 0.298 0.595 P
0.952 0.952 0.903 Ho
0.601 0.601 0.202 Pd
```

Computed properties:
* crystal system: tetragonal
* Fermi-level density of states: 0.9 states/eV/f.u.
* E_form: -0.798 eV per atom
* magnetization: 0.00 μB/cell
* space-group type: No. 107

Ti5ZnCo | PBE | optimized geometry

The structure in POSCAR format:
```
Ti5ZnCo
1.0
4.835 -0.652 -0.044
0.916 4.792 -0.044
2.024 1.457 9.344
Ti Co Zn
10 2 2
direct
0.492 0.778 0.937 Ti
0.445 0.085 0.374 Ti
0.508 0.222 0.063 Ti
0.085 0.445 0.874 Ti
0.222 0.508 0.563 Ti
0.555 0.915 0.626 Ti
0.915 0.555 0.126 Ti
0.778 0.492 0.437 Ti
0.983 0.017 0.250 Ti
0.017 0.983 0.750 Ti
0.000 0.000 0.500 Co
0.000 0.000 0.000 Co
0.382 0.618 0.250 Zn
0.618 0.382 0.750 Zn
```

Computed properties:
* crystal system: monoclinic
* Fermi-level density of states: 8.1 states/eV/f.u.
* E_form: -0.028 eV per atom
* magnetization: 0.00 μB/cell
* space-group type: No. 15

PrSm6Er6 | PBE | optimized geometry

The structure in POSCAR format:
```
PrSm6Er6
1.0
6.698 0.000 0.000
-3.348 5.801 0.000
0.000 0.000 11.417
Er Sm Pr
6 6 1
direct
0.500 0.500 0.246 Er
0.000 0.500 0.246 Er
0.500 0.000 0.246 Er
0.500 0.500 0.754 Er
0.000 0.500 0.754 Er
0.500 0.000 0.754 Er
0.333 0.667 0.000 Sm
0.667 0.333 0.000 Sm
0.000 0.000 0.347 Sm
0.667 0.333 0.500 Sm
0.333 0.667 0.500 Sm
0.000 0.000 0.653 Sm
0.000 0.000 0.000 Pr
```

Computed properties:
* crystal system: hexagonal
* Fermi-level density of states: 26.6 states/eV/f.u.
* E_form: 0.258 eV per atom
* magnetization: 2.42 μB/cell
* space-group type: No. 191

Ce2InMo | PBE | optimized geometry

The structure in POSCAR format:
```
Ce2InMo
1.0
3.258 0.000 0.000
1.629 2.822 0.000
1.629 0.941 11.154
Ce In Mo
2 1 1
direct
0.101 0.101 0.698 Ce
0.899 0.899 0.302 Ce
0.000 0.000 0.000 In
0.500 0.500 0.500 Mo
```

Computed properties:
* crystal system: trigonal
* Fermi-level density of states: 7.4 states/eV/f.u.
* E_form: 0.333 eV per atom
* magnetization: 1.32 μB/cell
* space-group type: No. 166

Zn3GaB | PBE | optimized geometry

The structure in POSCAR format:
```
Zn3GaB
1.0
4.258 0.000 0.000
0.000 4.258 0.000
0.000 0.000 4.258
Zn B Ga
3 1 1
direct
0.000 0.500 0.000 Zn
0.500 0.000 0.000 Zn
0.000 0.000 0.500 Zn
0.000 0.000 0.000 B
0.500 0.500 0.500 Ga
```

Computed properties:
* crystal system: cubic
* Fermi-level density of states: 2.1 states/eV/f.u.
* E_form: 0.348 eV per atom
* magnetization: 0.00 μB/cell
* space-group type: No. 221

Tm5Te2 | PBE | optimized geometry

The structure in POSCAR format:
```
Tm5Te2
1.0
6.979 0.000 0.000
0.000 7.126 0.157
-3.489 -0.938 8.287
Te Tm
4 10
direct
0.770 0.611 0.217 Te
0.230 0.389 0.783 Te
0.552 0.889 0.783 Te
0.448 0.111 0.217 Te
0.348 0.750 0.000 Tm
0.423 0.221 0.553 Tm
0.162 0.441 0.200 Tm
0.577 0.779 0.447 Tm
0.870 0.279 0.447 Tm
0.652 0.250 0.000 Tm
0.038 0.941 0.200 Tm
0.962 0.059 0.800 Tm
0.838 0.559 0.800 Tm
0.130 0.721 0.553 Tm
```

Computed properties:
* crystal system: monoclinic
* Fermi-level density of states: 7.8 states/eV/f.u.
* magnetization: 0.00 μB/cell
* space-group type: No. 15
* formation energy without anion corrections: -619 meV per atom

ScIrSeN2 | PBE | optimized geometry

The structure in POSCAR format:
```
ScIrSeN2
1.0
3.977 0.000 0.000
0.000 3.977 0.000
0.000 0.000 5.517
Se N Sc Ir
1 2 1 1
direct
0.000 0.000 0.500 Se
0.500 0.000 0.000 N
0.000 0.500 0.000 N
0.000 0.000 0.000 Sc
0.500 0.500 0.500 Ir
```

Computed properties:
* crystal system: tetragonal
* Fermi-level density of states: 5.6 states/eV/f.u.
* magnetization: 2.72 μB/cell
* space-group type: No. 123
* formation energy without anion corrections: 1238 meV per atom

BeAlF5 | PBE | optimized geometry

The structure in POSCAR format:
```
BeAlF5
1.0
4.785 -0.043 -1.720
-0.780 4.721 -1.719
0.023 0.027 7.037
F Be Al
10 2 2
direct
0.216 0.694 0.860 F
0.273 0.252 0.576 F
0.194 0.716 0.360 F
0.433 0.068 0.250 F
0.752 0.773 0.076 F
0.248 0.227 0.924 F
0.784 0.306 0.140 F
0.727 0.748 0.424 F
0.806 0.284 0.640 F
0.567 0.932 0.750 F
0.134 0.366 0.750 Be
0.866 0.634 0.250 Be
0.500 0.000 0.500 Al
0.500 0.000 0.000 Al
```

Computed properties:
* crystal system: monoclinic
* Fermi-level density of states: 0.0 states/eV/f.u.
* magnetization: 0.00 μB/cell
* space-group type: No. 15
* formation energy without anion corrections: -3428 meV per atom

Tb3ScPd4 | PBE | optimized geometry

The structure in POSCAR format:
```
Tb3ScPd4
1.0
3.399 0.000 0.000
0.000 4.953 0.000
0.000 0.000 9.944
Sc Tb Pd
1 3 4
direct
0.500 0.500 0.000 Sc
0.500 0.500 0.500 Tb
0.500 0.000 0.245 Tb
0.500 0.000 0.755 Tb
0.000 0.500 0.232 Pd
0.000 0.500 0.768 Pd
0.000 0.000 0.000 Pd
0.000 0.000 0.500 Pd
```

Computed properties:
* crystal system: orthorhombic
* Fermi-level density of states: 4.4 states/eV/f.u.
* E_form: -0.864 eV per atom
* magnetization: 0.00 μB/cell
* space-group type: No. 47

ZrCoHg2 | PBE | optimized geometry

The structure in POSCAR format:
```
ZrCoHg2
1.0
-2.681 -0.151 2.356
-1.754 -1.945 -2.120
1.826 -6.341 1.671
Hg Zr Co
2 1 1
direct
0.000 0.821 0.984 Hg
0.500 0.175 0.270 Hg
0.000 0.533 0.559 Zr
0.500 0.971 0.686 Co
```

Computed properties:
* crystal system: monoclinic
* Fermi-level density of states: 2.7 states/eV/f.u.
* E_form: -0.002 eV per atom
* magnetization: 0.00 μB/cell
* space-group type: No. 6

TbPm2Dy3Sb6 | PBE | optimized geometry

The structure in POSCAR format:
```
TbPm2Dy3Sb6
1.0
4.425 0.000 0.000
0.000 8.838 0.321
-2.212 -2.540 9.297
Sb Tb Pm Dy
6 1 2 3
direct
0.333 0.922 0.667 Sb
0.002 0.750 0.004 Sb
0.998 0.250 0.996 Sb
0.665 0.587 0.330 Sb
0.667 0.078 0.333 Sb
0.335 0.413 0.670 Sb
0.500 0.000 0.000 Tb
0.166 0.333 0.332 Pm
0.834 0.667 0.668 Pm
0.833 0.166 0.665 Dy
0.167 0.834 0.335 Dy
0.500 0.500 0.000 Dy
```

Computed properties:
* crystal system: monoclinic
* Fermi-level density of states: 1.9 states/eV/f.u.
* magnetization: 0.00 μB/cell
* space-group type: No. 12
* formation energy without anion corrections: -1151 meV per atom